[1]
# CsBa2Rh PBE optimized geometry
data_CsBa2Rh
_chemical_formula_sum 'Cs3 Ba6 Rh3'
_space_group_name_H-M_alt 'R -3 m'
_space_group_IT_number 166
_space_group_name_Hall '-R 3 2"'
_cell_length_a 4.6361
_cell_length_b 4.6361
_cell_length_c 37.9046
_cell_angle_alpha 90.00
_cell_angle_beta 90.00
_cell_angle_gamma 120.00
loop_
_atom_site_label
_atom_site_fract_x
_atom_site_fract_y
_atom_site_fract_z
Cs1 0.0000 0.0000 0.0000
Ba1 0.0000 0.0000 0.1242
Rh1 0.0000 0.0000 0.5000
# * ΔH_f (0 K): -0.0494 eV per atom
# * VASP energy: -0.1125 hartree per atom
# * E above lowest polymorph: 0.11 eV per formula unit

***

[2]
# Cs3BaRh PBE optimized geometry
data_Cs3BaRh
_chemical_formula_sum 'Cs3 Ba1 Rh1'
_space_group_name_H-M_alt 'P m -3 m'
_space_group_IT_number 221
_space_group_name_Hall '-P 4 2 3'
_cell_length_a 6.689
_cell_length_b 6.689
_cell_length_c 6.689
_cell_angle_alpha 90.00
_cell_angle_beta 90.00
_cell_angle_gamma 90.00
loop_
_atom_site_label
_atom_site_fract_x
_atom_site_fract_y
_atom_site_fract_z
Cs1 0.000 0.000 0.500
Ba1 0.500 0.500 0.500
Rh1 0.000 0.000 0.000
# * ΔH_f (0 K): 0.5901 eV per atom
# * VASP energy: -0.0653 hartree per atom
# * E above lowest polymorph: 0.00 eV per formula unit

***

[3]
# CsBa2SnRh PBE optimized geometry
data_CsBa2SnRh
_chemical_formula_sum 'Cs1 Ba2 Sn1 Rh1'
_space_group_name_H-M_alt 'P 4/m m m'
_space_group_IT_number 123
_space_group_name_Hall '-P 4 2'
_cell_length_a 6.192
_cell_length_b 6.192
_cell_length_c 5.337
_cell_angle_alpha 90.00
_cell_angle_beta 90.00
_cell_angle_gamma 90.00
loop_
_atom_site_label
_atom_site_fract_x
_atom_site_fract_y
_atom_site_fract_z
Cs1 0.000 0.000 0.000
Ba1 0.000 0.500 0.500
Sn1 0.500 0.500 0.000
Rh1 0.500 0.500 0.500
# * ΔH_f (0 K): -0.2304 eV per atom
# * VASP energy: -0.1265 hartree per atom